Record 1
The following is a DFT calculation (PBE-GGA) of crystalline NaOsAu3 at its relaxed geometry.

Lattice parameters (Å, degrees): 5.0954 5.0954 5.0954 90.00 90.00 90.00
With the nearest neighbours (Å) after each atom.
Element x y z (fractional)
Na: 0.0000 0.0000 0.0000  12 Au 3.60
Os: 0.5000 0.5000 0.5000  6 Au 2.55
Au: 0.0000 0.5000 0.5000  2 Os 2.55
Au: 0.5000 0.0000 0.5000  2 Os 2.55
Au: 0.5000 0.5000 0.0000  2 Os 2.55

Values from the calculation:
* E_form: 715.3 meV per atom
* energy above the most stable polymorph in this dataset: 0 meV/atom
* SG: Pm-3m (221)
* DFT total energy: -3.76 eV/atom
* total magnetization: 1.76 μB/f.u.



Record 2
The following is a DFT calculation (PBE-GGA) of crystalline Na2OsPbAu at its relaxed geometry.

Lattice parameters (Å, degrees): 5.5533 5.5533 5.1345 90.00 90.00 90.00
With the nearest neighbours (Å) after each atom.
Element x y z (fractional)
Na: 0.0000 0.5000 0.0000  2 Pb 2.78
Na: 0.5000 0.0000 0.0000  2 Pb 2.78
Os: 0.0000 0.0000 0.5000  2 Pb 2.57
Pb: 0.0000 0.0000 0.0000  2 Os 2.57, 4 Na 2.78
Au: 0.5000 0.5000 0.5000  8 Na 3.78, 4 Os 3.93

Values from the calculation:
* E_form: 1199.7 meV per atom
* SG: P4/mmm (123)
* DFT total energy: -2.97 eV/atom
* total magnetization: 1.63 μB/f.u.



Record 3
The following is a DFT calculation (PBE-GGA) of crystalline NaOsRh2Au at its relaxed geometry.

Lattice parameters (Å, degrees): 4.6998 4.6998 5.2095 90.00 90.00 90.00
With the nearest neighbours (Å) after each atom.
Element x y z (fractional)
Na: 0.0000 0.0000 0.0000  4 Au 3.32, 8 Rh 3.51
Os: 0.5000 0.5000 0.5000  4 Rh 2.35, 2 Au 2.60
Rh: 0.0000 0.5000 0.5000  2 Os 2.35
Rh: 0.5000 0.0000 0.5000  2 Os 2.35
Au: 0.5000 0.5000 0.0000  2 Os 2.60

Values from the calculation:
* E_form: 879.6 meV per atom
* SG: P4/mmm (123)
* DFT total energy: -5.23 eV/atom
* total magnetization: 0.00 μB/f.u.



Record 4
The following is a DFT calculation (PBE-GGA) of crystalline NaTcOsAu2 at its relaxed geometry.

Lattice parameters (Å, degrees): 5.1871 5.1871 4.6171 90.00 90.00 90.00
With the nearest neighbours (Å) after each atom.
Element x y z (fractional)
Na: 0.0000 0.0000 0.0000  8 Au 3.47, 4 Tc 3.67
Tc: 0.5000 0.5000 0.0000  2 Os 2.31
Os: 0.5000 0.5000 0.5000  2 Tc 2.31
Au: 0.0000 0.5000 0.5000  2 Os 2.59
Au: 0.5000 0.0000 0.5000  2 Os 2.59

Values from the calculation:
* E_form: 955.5 meV per atom
* SG: P4/mmm (123)
* DFT total energy: -4.94 eV/atom
* total magnetization: 1.96 μB/f.u.



Record 5
The following is a DFT calculation (PBE-GGA) of crystalline NaYOsAu2 at its relaxed geometry.

Lattice parameters (Å, degrees): 4.6267 4.6267 5.0188 90.00 90.00 90.00
With the nearest neighbours (Å) after each atom.
Element x y z (fractional)
Na: 0.0000 0.0000 0.0000  4 Au 2.31, 2 Y 2.51
Y: 0.0000 0.0000 0.5000  2 Na 2.51
Os: 0.5000 0.5000 0.5000  4 Y 3.27, 8 Au 3.41
Au: 0.0000 0.5000 0.0000  2 Na 2.31
Au: 0.5000 0.0000 0.0000  2 Na 2.31

Values from the calculation:
* E_form: 1317.6 meV per atom
* SG: P4/mmm (123)
* DFT total energy: -3.80 eV/atom
* total magnetization: 0.00 μB/f.u.



Record 6
The following is a DFT calculation (PBE-GGA) of crystalline NaZnOs2Au at its relaxed geometry.

Lattice parameters (Å, degrees): 4.6571 4.6571 4.8342 90.00 90.00 90.00
With the nearest neighbours (Å) after each atom.
Element x y z (fractional)
Na: 0.0000 0.0000 0.0000  4 Au 3.29, 8 Os 3.36
Zn: 0.5000 0.5000 0.5000  4 Os 2.33, 2 Au 2.42
Os: 0.0000 0.5000 0.5000  2 Zn 2.33
Os: 0.5000 0.0000 0.5000  2 Zn 2.33
Au: 0.5000 0.5000 0.0000  2 Zn 2.42

Values from the calculation:
* E_form: 1612.5 meV per atom
* SG: P4/mmm (123)
* DFT total energy: -4.05 eV/atom
* total magnetization: 3.38 μB/f.u.



Record 7
The following is a DFT calculation (PBE-GGA) of crystalline NaPAu at its relaxed geometry.

Lattice parameters (Å, degrees): 6.0881 6.0881 6.0881 136.88 114.37 81.80
With the nearest neighbours (Å) after each atom.
Element x y z (fractional)
Na: 0.2299 0.2299 0.0000  2 P 3.03, 2 Au 3.09
Na: 0.7701 0.7701 0.0000  2 P 3.03, 2 Au 3.09
P: 0.3297 0.0000 0.3297  1 P 2.25, 2 Au 2.35
P: 0.6703 0.0000 0.6703  1 P 2.25, 2 Au 2.35
Au: 0.2211 0.5000 0.7211  2 P 2.35
Au: 0.7789 0.5000 0.2789  2 P 2.35

Values from the calculation:
* E_form: -290.4 meV per atom
* SG: Immm (71)
* DFT total energy: -3.63 eV/atom
* total magnetization: 0.00 μB/f.u.



Record 8
The following is a DFT calculation (PBE-GGA) of crystalline NaPAu at its relaxed geometry.

Lattice parameters (Å, degrees): 5.7526 5.7526 5.5130 112.08 112.08 86.05
With the nearest neighbours (Å) after each atom.
Element x y z (fractional)
Na: 0.0000 0.0000 0.0000  3 P 2.79-3.03, 2 Au 3.06
Na: 0.5384 0.5384 0.7292  2 P 2.93-3.20, 4 Au 3.05-3.16
P: 0.1252 0.1252 0.6189  1 P 2.29, 2 Au 2.38
P: 0.8086 0.8086 0.3385  1 P 2.29, 2 Au 2.37
Au: 0.4695 0.9649 0.4824  2 P 2.37-2.38
Au: 0.9649 0.4695 0.4824  2 P 2.37-2.38

Values from the calculation:
* E_form: -339.9 meV per atom
* SG: Cm (8)
* DFT total energy: -3.68 eV/atom
* total magnetization: 0.00 μB/f.u.



Record 9
The following is a DFT calculation (PBE-GGA) of crystalline NaPAu at its relaxed geometry.

Lattice parameters (Å, degrees): 5.4609 5.4718 5.8468 114.29 96.66 115.76
With the nearest neighbours (Å) after each atom.
Element x y z (fractional)
Na: 0.1229 0.2403 0.3628  3 P 2.86-3.08, 2 Au 3.15
Na: 0.8771 0.7597 0.6372  3 P 2.86-3.08, 2 Au 3.15
P: 0.4952 0.8171 0.3120  1 P 2.26, 2 Au 2.41
P: 0.5048 0.1829 0.6880  1 P 2.26, 2 Au 2.41
Au: 0.0000 0.5000 0.0000  2 P 2.41
Au: 0.5000 0.0000 0.0000  2 P 2.41

Values from the calculation:
* E_form: -345.9 meV per atom
* SG: P-1 (2)
* DFT total energy: -3.68 eV/atom
* total magnetization: 0.00 μB/f.u.



Record 10
The following is a DFT calculation (PBE-GGA) of crystalline NaPAu at its relaxed geometry.

Lattice parameters (Å, degrees): 5.5441 5.5441 5.8386 108.43 108.43 99.74
With the nearest neighbours (Å) after each atom.
Element x y z (fractional)
Na: 0.1706 0.1706 0.3280  2 P 2.83-3.11, 2 Au 3.09
Na: 0.8294 0.8294 0.6720  2 P 2.83-3.11, 2 Au 3.09
P: 0.3226 0.3190 0.8759  1 P 2.24, 2 Au 2.37
P: 0.6810 0.6774 0.1241  1 P 2.24, 2 Au 2.37
Au: 0.0021 0.4994 0.9995  2 P 2.37
Au: 0.5006 0.9979 0.0005  2 P 2.37

Values from the calculation:
* E_form: -335.3 meV per atom
* SG: C2 (5)
* DFT total energy: -3.67 eV/atom
* total magnetization: 0.00 μB/f.u.



Record 11
The following is a DFT calculation (PBE-GGA) of crystalline NaPAu at its relaxed geometry.

Lattice parameters (Å, degrees): 5.7700 5.7700 6.3601 118.67 118.67 85.73
With the nearest neighbours (Å) after each atom.
Element x y z (fractional)
Na: 0.2423 0.2423 0.4877  2 P 2.81-2.83
Na: 0.7577 0.7577 0.5123  2 P 2.81-2.83
P: 0.2125 0.6930 0.1309  1 P 2.27, 2 Au 2.37
P: 0.3070 0.7875 0.8691  1 P 2.27, 2 Au 2.37
Au: 0.2636 0.2413 0.0010  2 P 2.37
Au: 0.7587 0.7364 0.9990  2 P 2.37

Values from the calculation:
* E_form: -326.5 meV per atom
* SG: C2 (5)
* DFT total energy: -3.66 eV/atom
* total magnetization: 0.00 μB/f.u.



Record 12
The following is a DFT calculation (PBE-GGA) of crystalline Na2PAu at its relaxed geometry.

Lattice parameters (Å, degrees): 8.0937 8.0937 8.0937 94.71 94.71 146.68
With the nearest neighbours (Å) after each atom.
Element x y z (fractional)
Na: 0.3750 0.1296 0.2546  2 P 2.80
Na: 0.8704 0.1250 0.2454  2 P 2.80
Na: 0.8750 0.1204 0.7454  2 P 2.80
Na: 0.8796 0.6250 0.7546  2 P 2.80
P: 0.0000 0.0000 0.0000  2 Au 2.32
P: 0.7500 0.2500 0.5000  2 Au 2.32
Au: 0.2500 0.7500 0.5000  2 P 2.32
Au: 0.5000 0.5000 0.0000  2 P 2.32

Values from the calculation:
* E_form: -260.0 meV per atom
* SG: I-42d (122)
* DFT total energy: -3.09 eV/atom
* total magnetization: 0.00 μB/f.u.